A plane-wave DFT calculation with GGA+U was carried out for PmYCr2O8 after structural relaxation.

Summary:
Volume   169.75 Å³ per cell
Crystal system   tetragonal
DFT total energy   -93.540 eV/f.u.
SG   I-4m2
DOS(E_F)   1.10 states/eV/f.u.

Cell: 6.067 6.067 6.067 Å, 105.92 105.92 116.84°
Sites, in units of the cell vectors:
O: 0.765 0.080 0.685
O: 0.396 0.080 0.315
O: 0.325 0.145 0.820
O: 0.325 0.506 0.180
O: 0.920 0.235 0.315
Y: 0.000 0.000 0.000
O: 0.855 0.675 0.180
O: 0.920 0.604 0.685
O: 0.494 0.675 0.820
Cr: 0.750 0.250 0.500
Cr: 0.500 0.500 0.000
Pm: 0.250 0.750 0.500